(1)
First-principles (GGA-PBEsol) data for an optimized crystal structure of LiCuSb, as listed in Alexandria via LeMat-Bulk.

abc: 3.2097 4.3790 4.3790
angles: 120.00 90.00 90.00
Fractional positions:
Sb (0.5000, 0.3333, 0.6667)
Cu (0.5000, 0.0000, 0.0000)
Li (0.0000, 0.6667, 0.3333)

Summary:
DOS at the Fermi energy (states/eV/cell): 0.61
V (Å³ per atom): 17.8
Raw formation energy (eV per atom): -0.24

***

(2)
First-principles (GGA-PBEsol) data for an optimized crystal structure of Li2CuSb, as listed in Alexandria via LeMat-Bulk.

abc: 4.1987 3.8627 3.8627
angles: 89.97 90.00 90.00
Fractional positions:
Cu (0.5000, 0.5000, 0.5000)
Li (0.0000, 0.5000, 0.0000)
Li (0.0000, 0.0000, 0.5000)
Sb (0.5000, 0.0000, 0.0000)

Summary:
DOS at the Fermi energy (states/eV/cell): 1.28
V (Å³ per atom): 15.7
Raw formation energy (eV per atom): -0.30

***

(3)
First-principles (GGA-PBEsol) data for an optimized crystal structure of Li2CuSb, as listed in Alexandria via LeMat-Bulk.

abc: 4.4149 4.4149 4.4149
angles: 60.00 60.00 60.00
Fractional positions:
Sb (0.5000, 0.5000, 0.5000)
Cu (0.2500, 0.2500, 0.2500)
Li (0.0000, 0.0000, 0.0000)
Li (0.7500, 0.7500, 0.7500)

Summary:
V (Å³ per atom): 15.2
Raw formation energy (eV per atom): -0.43

***

(4)
First-principles (GGA-PBEsol) data for an optimized crystal structure of LiCu2Sb, as listed in Alexandria via LeMat-Bulk.

abc: 3.0201 4.5313 4.6899
angles: 98.48 90.00 109.47
Fractional positions:
Cu (0.7484, 0.4968, 0.7230)
Cu (0.2516, 0.5032, 0.2770)
Li (0.0000, 0.0000, 0.5000)
Sb (0.5000, 0.0000, 0.0000)

Summary:
DOS at the Fermi energy (states/eV/cell): 1.12
V (Å³ per atom): 14.9
Raw formation energy (eV per atom): -0.03

***

(5)
First-principles (GGA-PBEsol) data for an optimized crystal structure of Li2CuSb2, as listed in Alexandria via LeMat-Bulk.

abc: 4.4468 6.8002 6.8002
angles: 90.00 90.00 90.00
Fractional positions:
Sb (0.0000, 0.3487, 0.8487)
Sb (0.0000, 0.8487, 0.6513)
Sb (0.0000, 0.6513, 0.1513)
Sb (0.0000, 0.1513, 0.3487)
Cu (0.0000, 0.0000, 0.0000)
Cu (0.0000, 0.5000, 0.5000)
Li (0.5000, 0.1589, 0.6589)
Li (0.5000, 0.6589, 0.8411)
Li (0.5000, 0.8411, 0.3411)
Li (0.5000, 0.3411, 0.1589)

Summary:
DOS at the Fermi energy (states/eV/cell): 2.44
V (Å³ per atom): 20.6
ΔE to the lowest computed polymorph (kJ/mol of atoms): 0.0
Raw formation energy (eV per atom): -0.27

***

(6)
First-principles (GGA-PBEsol) data for an optimized crystal structure of LiCuSb2Te, as listed in Alexandria via LeMat-Bulk.

abc: 4.9796 4.9796 5.4207
angles: 90.00 90.00 90.00
Fractional positions:
Sb (0.0000, 0.5000, 0.0000)
Sb (0.5000, 0.0000, 0.0000)
Te (0.0000, 0.0000, 0.5000)
Cu (0.0000, 0.0000, 0.0000)
Li (0.5000, 0.5000, 0.5000)

Summary:
DOS at the Fermi energy (states/eV/cell): 2.94
V (Å³ per atom): 26.9
Raw formation energy (eV per atom): 0.22

***

(7)
First-principles (GGA-PBEsol) data for an optimized crystal structure of Li2ScCu, as listed in Alexandria via LeMat-Bulk.

abc: 2.8945 2.8945 9.4564
angles: 81.20 81.20 60.00
Fractional positions:
Cu (0.0000, 0.0000, 0.0000)
Li (0.2622, 0.2622, 0.2135)
Li (0.7378, 0.7378, 0.7865)
Sc (0.5000, 0.5000, 0.5000)

Summary:
Energy of formation (eV/atom): 0.22
DOS at the Fermi energy (states/eV/cell): 2.45
V (Å³ per atom): 16.9
ΔE to the lowest computed polymorph (kJ/mol of atoms): 13.2

***

(8)
First-principles (GGA-PBEsol) data for an optimized crystal structure of LiSc2Cu2, as listed in Alexandria via LeMat-Bulk.

abc: 3.2193 7.3398 7.3398
angles: 90.00 90.00 90.00
Fractional positions:
Sc (0.5000, 0.1652, 0.6652)
Sc (0.5000, 0.6652, 0.8348)
Sc (0.5000, 0.8348, 0.3348)
Sc (0.5000, 0.3348, 0.1652)
Cu (0.0000, 0.3738, 0.8738)
Cu (0.0000, 0.8738, 0.6262)
Cu (0.0000, 0.6262, 0.1262)
Cu (0.0000, 0.1262, 0.3738)
Li (0.0000, 0.0000, 0.0000)
Li (0.0000, 0.5000, 0.5000)

Summary:
Energy of formation (eV/atom): -0.12
DOS at the Fermi energy (states/eV/cell): 8.89
V (Å³ per atom): 17.3

***

(9)
First-principles (GGA-PBEsol) data for an optimized crystal structure of LiScCu4, as listed in Alexandria via LeMat-Bulk.

abc: 4.8648 4.8648 4.8648
angles: 60.00 60.00 60.00
Fractional positions:
Cu (0.3756, 0.3756, 0.3756)
Cu (0.3756, 0.3756, 0.8732)
Cu (0.8732, 0.3756, 0.3756)
Cu (0.3756, 0.8732, 0.3756)
Li (0.7500, 0.7500, 0.7500)
Sc (0.0000, 0.0000, 0.0000)

Summary:
Energy of formation (eV/atom): -0.17
DOS at the Fermi energy (states/eV/cell): 4.30
V (Å³ per atom): 13.6

***

(10)
First-principles (GGA-PBEsol) data for an optimized crystal structure of Li2ScCu, as listed in Alexandria via LeMat-Bulk.

abc: 4.4996 4.4996 4.4996
angles: 60.00 60.00 60.00
Fractional positions:
Cu (0.5000, 0.5000, 0.5000)
Li (0.0000, 0.0000, 0.0000)
Li (0.7500, 0.7500, 0.7500)
Sc (0.2500, 0.2500, 0.2500)

Summary:
Energy of formation (eV/atom): 0.08
DOS at the Fermi energy (states/eV/cell): 4.72
V (Å³ per atom): 16.1
ΔE to the lowest computed polymorph (kJ/mol of atoms): 0.0

***

(11)
First-principles (GGA-PBEsol) data for an optimized crystal structure of LiSc2Cu, as listed in Alexandria via LeMat-Bulk.

abc: 3.2853 3.2853 6.8430
angles: 90.00 90.00 90.00
Fractional positions:
Cu (0.5000, 0.5000, 0.5000)
Li (0.5000, 0.5000, 0.0000)
Sc (0.0000, 0.0000, 0.2782)
Sc (0.0000, 0.0000, 0.7218)

Summary:
Energy of formation (eV/atom): -0.04
DOS at the Fermi energy (states/eV/cell): 3.02
V (Å³ per atom): 18.5

***

(12)
First-principles (GGA-PBEsol) data for an optimized crystal structure of LiCuSe2, as listed in Alexandria via LeMat-Bulk.

abc: 3.5739 5.9058 5.9058
angles: 43.67 72.39 72.39
Fractional positions:
Cu (0.5000, 0.0000, 0.0000)
Li (0.0000, 0.5000, 0.5000)
Se (0.1460, 0.8540, 0.8540)
Se (0.8540, 0.1460, 0.1460)

Summary:
DOS at the Fermi energy (states/eV/cell): 0.76
V (Å³ per atom): 20.3
Raw formation energy (eV per atom): -0.37

***

(13)
First-principles (GGA-PBEsol) data for an optimized crystal structure of Li4CuSe, as listed in Alexandria via LeMat-Bulk.

abc: 5.0416 5.0416 5.0416
angles: 60.00 60.00 60.00
Fractional positions:
Cu (0.0000, 0.0000, 0.0000)
Li (0.3749, 0.3749, 0.3749)
Li (0.3749, 0.3749, 0.8754)
Li (0.8754, 0.3749, 0.3749)
Li (0.3749, 0.8754, 0.3749)
Se (0.7500, 0.7500, 0.7500)

Summary:
DOS at the Fermi energy (states/eV/cell): 2.24
V (Å³ per atom): 15.1
Raw formation energy (eV per atom): -0.02

***

(14)
First-principles (GGA-PBEsol) data for an optimized crystal structure of LiCuSe2, as listed in Alexandria via LeMat-Bulk.

abc: 2.9416 4.2495 5.1577
angles: 90.00 90.00 90.00
Fractional positions:
Cu (0.3750, 0.0000, 0.0000)
Li (0.8753, 0.5000, 0.5000)
Se (0.8750, 0.5000, 0.0000)
Se (0.3747, 0.0000, 0.5000)

Summary:
DOS at the Fermi energy (states/eV/cell): 1.62
V (Å³ per atom): 16.1
Raw formation energy (eV per atom): -0.42

***

(15)
First-principles (GGA-PBEsol) data for an optimized crystal structure of LiCu2Se, as listed in Alexandria via LeMat-Bulk.

abc: 3.2882 3.3252 5.0140
angles: 90.00 90.00 90.00
Fractional positions:
Cu (0.0000, 0.0000, 0.7513)
Cu (0.0000, 0.0000, 0.2487)
Li (0.5000, 0.5000, 0.0000)
Se (0.5000, 0.5000, 0.5000)

Summary:
DOS at the Fermi energy (states/eV/cell): 1.79
V (Å³ per atom): 13.7
Raw formation energy (eV per atom): -0.06

***

(16)
First-principles (GGA-PBEsol) data for an optimized crystal structure of Li2CuSe, as listed in Alexandria via LeMat-Bulk.

abc: 3.8216 3.8216 8.9561
angles: 102.32 102.32 90.00
Fractional positions:
Cu (0.7500, 0.2500, 0.5000)
Cu (0.5000, 0.5000, 0.0000)
Se (0.2500, 0.7500, 0.5000)
Se (0.0000, 0.0000, 0.0000)
Li (0.8938, 0.3750, 0.2500)
Li (0.3562, 0.8750, 0.2500)
Li (0.6250, 0.6438, 0.7500)
Li (0.1250, 0.1062, 0.7500)

Summary:
DOS at the Fermi energy (states/eV/cell): 2.77
V (Å³ per atom): 15.6
Raw formation energy (eV per atom): -0.23

***

(17)
First-principles (GGA-PBEsol) data for an optimized crystal structure of LiCu2Se, as listed in Alexandria via LeMat-Bulk.

abc: 3.6492 3.6492 3.9091
angles: 90.00 90.00 90.00
Fractional positions:
Cu (0.0000, 0.5000, 0.0000)
Cu (0.5000, 0.0000, 0.0000)
Li (0.5000, 0.5000, 0.5000)
Se (0.0000, 0.0000, 0.5000)

Summary:
DOS at the Fermi energy (states/eV/cell): 0.92
V (Å³ per atom): 13.0
Raw formation energy (eV per atom): -0.25

***

(18)
First-principles (GGA-PBEsol) data for an optimized crystal structure of Li2CuSe, as listed in Alexandria via LeMat-Bulk.

abc: 2.8798 3.8102 5.3737
angles: 90.00 90.00 90.00
Fractional positions:
Cu (0.5000, 0.5000, 0.7738)
Li (0.0000, 0.0000, 0.9746)
Li (0.5000, 0.5000, 0.2688)
Se (0.0000, 0.0000, 0.4828)

Summary:
DOS at the Fermi energy (states/eV/cell): 1.16
V (Å³ per atom): 14.7
Raw formation energy (eV per atom): -0.31

***

(19)
First-principles (GGA-PBEsol) data for an optimized crystal structure of Li2CuSe, as listed in Alexandria via LeMat-Bulk.

abc: 3.4579 3.4538 4.9586
angles: 90.00 90.00 90.00
Fractional positions:
Cu (0.5000, 0.5000, 0.5000)
Li (0.0000, 0.0000, 0.7672)
Li (0.0000, 0.0000, 0.2328)
Se (0.5000, 0.5000, 0.0000)

Summary:
DOS at the Fermi energy (states/eV/cell): 1.22
V (Å³ per atom): 14.8
Raw formation energy (eV per atom): -0.41

***

(20)
First-principles (GGA-PBEsol) data for an optimized crystal structure of LiCuSe2, as listed in Alexandria via LeMat-Bulk.

abc: 2.7939 3.7511 6.9688
angles: 90.06 101.56 90.00
Fractional positions:
Se (0.0352, 0.1244, 0.0705)
Se (0.2910, 0.6263, 0.5821)
Cu (0.4660, 0.6232, 0.9319)
Li (0.7078, 0.1261, 0.4155)

Summary:
DOS at the Fermi energy (states/eV/cell): 1.91
V (Å³ per atom): 17.9
Raw formation energy (eV per atom): -0.45

***

(21)
First-principles (GGA-PBEsol) data for an optimized crystal structure of Li2CuSe, as listed in Alexandria via LeMat-Bulk.

abc: 2.7016 3.8343 6.5186
angles: 96.70 90.00 110.63
Fractional positions:
Cu (0.0000, 0.0000, 0.5000)
Li (0.7546, 0.5091, 0.7595)
Li (0.2454, 0.4909, 0.2405)
Se (0.5000, 0.0000, 0.0000)

Summary:
DOS at the Fermi energy (states/eV/cell): 0.56
V (Å³ per atom): 15.7
Raw formation energy (eV per atom): -0.29

***

(22)
First-principles (GGA-PBEsol) data for an optimized crystal structure of LiCuSi, as listed in Alexandria via LeMat-Bulk.

abc: 2.6862 4.0664 4.0664
angles: 120.00 90.00 90.00
Fractional positions:
Si (0.5000, 0.6667, 0.3333)
Cu (0.5000, 0.0000, 0.0000)
Li (0.0000, 0.3333, 0.6667)

Summary:
DOS at the Fermi energy (states/eV/cell): 0.71
V (Å³ per atom): 12.8
Raw formation energy (eV per atom): -0.20

***

(23)
First-principles (GGA-PBEsol) data for an optimized crystal structure of LiCu2Si, as listed in Alexandria via LeMat-Bulk.

abc: 2.9579 2.9579 5.4293
angles: 90.00 90.00 90.00
Fractional positions:
Cu (0.0000, 0.0000, 0.7469)
Cu (0.0000, 0.0000, 0.2531)
Li (0.5000, 0.5000, 0.0000)
Si (0.5000, 0.5000, 0.5000)

Summary:
DOS at the Fermi energy (states/eV/cell): 1.17
V (Å³ per atom): 11.9
Raw formation energy (eV per atom): -0.04

***

(24)
First-principles (GGA-PBEsol) data for an optimized crystal structure of LiCuSi2, as listed in Alexandria via LeMat-Bulk.

abc: 4.2116 4.2116 4.2116
angles: 60.00 60.00 60.00
Fractional positions:
Cu (0.0000, 0.0000, 0.0000)
Li (0.5000, 0.5000, 0.5000)
Si (0.2500, 0.2500, 0.2500)
Si (0.7500, 0.7500, 0.7500)

Summary:
DOS at the Fermi energy (states/eV/cell): 1.33
V (Å³ per atom): 13.2
ΔE to the lowest computed polymorph (kJ/mol of atoms): 15.7
Raw formation energy (eV per atom): 0.08

***

(25)
First-principles (GGA-PBEsol) data for an optimized crystal structure of LiCu2Si, as listed in Alexandria via LeMat-Bulk.

abc: 4.0134 4.0134 4.0134
angles: 60.00 60.00 60.00
Fractional positions:
Si (0.0000, 0.0000, 0.0000)
Cu (0.2500, 0.2500, 0.2500)
Cu (0.7500, 0.7500, 0.7500)
Li (0.5000, 0.5000, 0.5000)

Summary:
DOS at the Fermi energy (states/eV/cell): 0.71
V (Å³ per atom): 11.4
Raw formation energy (eV per atom): -0.25

***

(26)
First-principles (GGA-PBEsol) data for an optimized crystal structure of LiCuSi2, as listed in Alexandria via LeMat-Bulk.

abc: 3.6820 3.6814 4.5708
angles: 113.75 113.75 90.00
Fractional positions:
Cu (0.5000, 0.0000, 0.0000)
Li (0.0000, 0.5000, 0.0000)
Si (0.7499, 0.7499, 0.4998)
Si (0.2501, 0.2501, 0.5002)

Summary:
DOS at the Fermi energy (states/eV/cell): 1.30
V (Å³ per atom): 12.7
ΔE to the lowest computed polymorph (kJ/mol of atoms): 4.4
Raw formation energy (eV per atom): -0.04

***

(27)
First-principles (GGA-PBEsol) data for an optimized crystal structure of LiCu2Si, as listed in Alexandria via LeMat-Bulk.

abc: 2.5307 3.6688 5.1289
angles: 90.00 90.00 90.00
Fractional positions:
Cu (0.0000, 0.0000, 0.7469)
Cu (0.0000, 0.0000, 0.2531)
Li (0.5000, 0.5000, 0.0000)
Si (0.5000, 0.5000, 0.5000)

Summary:
DOS at the Fermi energy (states/eV/cell): 1.02
V (Å³ per atom): 11.9
Raw formation energy (eV per atom): -0.08

***

(28)
First-principles (GGA-PBEsol) data for an optimized crystal structure of LiCu2Si, as listed in Alexandria via LeMat-Bulk.

abc: 3.1363 3.8396 3.8396
angles: 90.00 90.00 90.00
Fractional positions:
Si (0.5000, 0.0000, 0.0000)
Cu (0.0000, 0.0000, 0.5000)
Cu (0.0000, 0.5000, 0.0000)
Li (0.5000, 0.5000, 0.5000)

Summary:
DOS at the Fermi energy (states/eV/cell): 0.94
V (Å³ per atom): 11.6
Raw formation energy (eV per atom): -0.16

***

(29)
First-principles (GGA-PBEsol) data for an optimized crystal structure of LiCuSi2, as listed in Alexandria via LeMat-Bulk.

abc: 3.1443 3.3779 4.8916
angles: 90.00 90.00 90.00
Fractional positions:
Cu (0.0000, 0.0000, 0.5005)
Li (0.5000, 0.5000, 0.7473)
Si (0.0000, 0.0000, 0.0065)
Si (0.5000, 0.5000, 0.2456)

Summary:
DOS at the Fermi energy (states/eV/cell): 0.94
V (Å³ per atom): 13.0
ΔE to the lowest computed polymorph (kJ/mol of atoms): 5.0
Raw formation energy (eV per atom): -0.03

***

(30)
First-principles (GGA-PBEsol) data for an optimized crystal structure of LiCuSi2, as listed in Alexandria via LeMat-Bulk.

abc: 2.6645 4.0106 5.0456
angles: 90.00 90.00 90.00
Fractional positions:
Cu (0.5000, 0.5000, 0.0000)
Li (0.0000, 0.5000, 0.5000)
Si (0.5000, 0.0000, 0.7445)
Si (0.5000, 0.0000, 0.2555)

Summary:
DOS at the Fermi energy (states/eV/cell): 1.23
V (Å³ per atom): 13.5
ΔE to the lowest computed polymorph (kJ/mol of atoms): 0.0
Raw formation energy (eV per atom): -0.08